Record 1
# GaFeReHg GGA-PBE optimized geometry
# * magnetic moment: 0.704 μB per atom
# * energy: -5.358 eV per atom
# * crystal system: cubic
data_GaFeReHg
_chemical_formula_sum 'Ga4 Fe4 Re4 Hg4'
_symmetry_space_group_name_H-M 'F -4 3 m'
_symmetry_Int_Tables_number 216
_symmetry_space_group_name_Hall 'F -4 2 3'
_cell_length_a 6.2937
_cell_length_b 6.2937
_cell_length_c 6.2937
_cell_angle_alpha 90.00
_cell_angle_beta 90.00
_cell_angle_gamma 90.00
loop_
_atom_site_label
_atom_site_type_symbol
_atom_site_fract_x
_atom_site_fract_y
_atom_site_fract_z
Ga1 Ga 0.0000 0.0000 0.0000
Fe1 Fe 0.2500 0.2500 0.2500
Re1 Re 0.2500 0.2500 0.7500
Hg1 Hg 0.0000 0.0000 0.5000

=====

Record 2
# GaFeReHg GGA-PBE optimized geometry
# * magnetic moment: 0.592 μB per atom
# * energy: -5.235 eV per atom
# * crystal system: cubic
data_GaFeReHg
_chemical_formula_sum 'Ga4 Fe4 Re4 Hg4'
_symmetry_space_group_name_H-M 'F -4 3 m'
_symmetry_Int_Tables_number 216
_symmetry_space_group_name_Hall 'F -4 2 3'
_cell_length_a 6.3130
_cell_length_b 6.3130
_cell_length_c 6.3130
_cell_angle_alpha 90.00
_cell_angle_beta 90.00
_cell_angle_gamma 90.00
loop_
_atom_site_label
_atom_site_type_symbol
_atom_site_fract_x
_atom_site_fract_y
_atom_site_fract_z
Ga1 Ga 0.0000 0.0000 0.0000
Fe1 Fe 0.2500 0.2500 0.2500
Re1 Re 0.0000 0.0000 0.5000
Hg1 Hg 0.2500 0.2500 0.7500

=====

Record 3
# TaGaFeHg GGA-PBE optimized geometry
# * magnetic moment: 0.284 μB per atom
# * energy: -5.438 eV per atom
# * crystal system: cubic
data_TaGaFeHg
_chemical_formula_sum 'Ta4 Ga4 Fe4 Hg4'
_symmetry_space_group_name_H-M 'F -4 3 m'
_symmetry_Int_Tables_number 216
_symmetry_space_group_name_Hall 'F -4 2 3'
_cell_length_a 6.4144
_cell_length_b 6.4144
_cell_length_c 6.4144
_cell_angle_alpha 90.00
_cell_angle_beta 90.00
_cell_angle_gamma 90.00
loop_
_atom_site_label
_atom_site_type_symbol
_atom_site_fract_x
_atom_site_fract_y
_atom_site_fract_z
Ta1 Ta 0.0000 0.0000 0.0000
Ga1 Ga 0.0000 0.0000 0.5000
Fe1 Fe 0.2500 0.2500 0.7500
Hg1 Hg 0.2500 0.2500 0.2500